Entry 1:
Below is crystalline TlSeS at its relaxed geometry, with properties calculated at the PBE level.

**Energy relative to the lowest polymorph listed for this composition**: 0.281 eV/atom
**Raw formation energy**: 0.12 eV/atom
**Crystal system**: trigonal
**Symmetry**: P3m1 (156)

```
TlSeS
1.0
-0.2028 -4.2973 1.1673
-0.6899 -1.1407 -4.3194
4.2098 0.2437 1.6287
S Se Tl
1 1 1
direct
0.2195 0.3333 0.6667
0.1211 0.0000 0.0000
0.6594 0.6667 0.3333
```

Entry 2:
Below is crystalline TlSe3S at its relaxed geometry, with properties calculated at the PBE level.

**Energy relative to the lowest polymorph listed for this composition**: 0.337 eV/atom
**Raw formation energy**: 0.27 eV/atom
**Crystal system**: cubic
**Symmetry**: Pm-3m (221)

```
TlSe3S
1.0
5.0052 0.0000 0.0000
0.0000 5.0052 0.0000
0.0000 0.0000 5.0052
S Tl Se
1 1 3
direct
0.0000 0.0000 0.0000
0.5000 0.5000 0.5000
0.0000 0.5000 0.0000
0.0000 0.0000 0.5000
0.5000 0.0000 0.0000
```

Entry 3:
Below is crystalline TlSeS2 at its relaxed geometry, with properties calculated at the PBE level.

**Energy relative to the lowest polymorph listed for this composition**: 0.262 eV/atom
**Raw formation energy**: 0.17 eV/atom
**Crystal system**: tetragonal
**Symmetry**: I-42d (122)

```
TlSeS2
1.0
-5.0666 -3.5035 -0.7268
3.5160 -5.1085 0.1154
-1.4920 -4.6491 6.3445
Se S Tl
2 4 2
direct
0.5000 0.5000 0.0000
0.2500 0.7500 0.5000
0.8750 0.7732 0.7500
0.5232 0.1250 0.2500
0.2268 0.6250 0.2500
0.3750 0.4768 0.7500
0.0000 0.0000 0.0000
0.7500 0.2500 0.5000
```

Entry 4:
Below is crystalline TlSeS2 at its relaxed geometry, with properties calculated at the PBE level.

**Energy relative to the lowest polymorph listed for this composition**: 0.000 eV/atom
**Raw formation energy**: -0.09 eV/atom
**Crystal system**: triclinic
**Symmetry**: P1 (1)

```
TlSeS2
1.0
6.8672 0.3153 1.6067
-0.0712 6.3582 -0.6661
1.3707 1.9302 5.9306
S Se Tl
4 2 2
direct
0.1920 0.7718 0.0782
0.8350 0.3103 0.9861
0.1961 0.8035 0.7507
0.8327 0.1982 0.7070
0.5550 0.1458 0.3189
0.8667 0.8371 0.7877
0.3153 0.2471 0.9868
0.7073 0.6862 0.3845
```

Entry 5:
Below is crystalline Tl6SeS2 at its relaxed geometry, with properties calculated at the PBE level.

**Energy relative to the lowest polymorph listed for this composition**: 0.080 eV/atom
**Raw formation energy**: -0.27 eV/atom
**Crystal system**: monoclinic
**Symmetry**: C2/m (12)

```
Tl6SeS2
1.0
-0.6027 2.4561 4.1120
-2.9564 -4.1637 4.8874
6.7245 -4.6736 6.6110
Tl Se S
6 1 2
direct
0.6616 0.2057 0.4711
0.6433 0.7251 0.9883
0.0010 0.1965 0.8014
0.9990 0.8035 0.1986
0.3384 0.7943 0.5289
0.3567 0.2749 0.0117
0.0000 0.5000 0.5000
0.2208 0.7353 0.8231
0.7792 0.2647 0.1769
```

Entry 6:
Below is crystalline Tl6Se2S at its relaxed geometry, with properties calculated at the PBE level.

**Energy relative to the lowest polymorph listed for this composition**: 0.000 eV/atom
**Raw formation energy**: -0.36 eV/atom
**Crystal system**: monoclinic
**Symmetry**: C2/m (12)

```
Tl6Se2S
1.0
-0.6203 2.6284 3.5147
-7.1181 -0.2359 1.7151
-3.9233 -7.3337 7.5869
Tl Se S
6 2 1
direct
0.6434 0.2035 0.5097
0.9550 0.2877 0.8023
0.6548 0.8010 0.8894
0.0450 0.7123 0.1977
0.3566 0.7965 0.4903
0.3452 0.1990 0.1106
0.3004 0.5937 0.8055
0.6996 0.4063 0.1945
0.0000 0.5000 0.5000
```

Entry 7:
Below is crystalline TlSeS4 at its relaxed geometry, with properties calculated at the PBE level.

**Raw formation energy**: 0.03 eV/atom
**Crystal system**: triclinic
**Symmetry**: P-1 (2)

```
TlSeS4
1.0
9.0446 -5.0685 -3.3412
-7.1865 9.9182 2.8400
-2.6261 5.4733 8.0467
S Se Tl
8 2 2
direct
0.7148 0.9993 0.5651
0.3676 0.1160 0.1979
0.2852 0.0007 0.4349
0.6324 0.8840 0.8021
0.5604 0.6190 0.3176
0.4396 0.3810 0.6824
0.6470 0.3265 0.8918
0.3530 0.6735 0.1082
0.0780 0.0505 0.3390
0.9220 0.9495 0.6610
0.0449 0.6469 0.1811
0.9551 0.3531 0.8189
```

Entry 8:
Below is crystalline Tl4SeS2 at its relaxed geometry, with properties calculated at the PBE level.

**Raw formation energy**: -0.29 eV/atom
**Crystal system**: orthorhombic
**Symmetry**: Cmcm (63)

```
Tl4SeS2
1.0
4.3749 0.0000 0.0000
-2.1874 7.3967 0.0000
0.0000 0.0000 13.4432
Se S Tl
2 4 8
direct
0.4399 0.8799 0.2500
0.5601 0.1201 0.7500
0.1446 0.2892 0.4148
0.8554 0.7108 0.5852
0.8554 0.7108 0.9148
0.1446 0.2892 0.0852
0.5000 0.0000 0.0000
0.0529 0.1058 0.2500
0.2201 0.4402 0.8788
0.5000 0.0000 0.5000
0.7799 0.5598 0.3788
0.2201 0.4402 0.6212
0.7799 0.5598 0.1212
0.9471 0.8942 0.7500
```

Entry 9:
Below is crystalline Tl2SeS4 at its relaxed geometry, with properties calculated at the PBE level.

**Raw formation energy**: -0.06 eV/atom
**Crystal system**: triclinic
**Symmetry**: P1 (1)

```
Tl2SeS4
1.0
-1.7980 12.2233 11.6899
-4.0722 2.6257 7.4249
5.2154 1.8717 4.2105
S Tl Se
8 4 2
direct
0.2062 0.1249 0.8921
0.8302 0.9840 0.8432
0.0722 0.1077 0.4438
0.3386 0.6855 0.2076
0.4234 0.6829 0.8132
0.7272 0.1686 0.1845
0.8005 0.5621 0.0520
0.6755 0.7494 0.4149
0.6520 0.0256 0.6963
0.1712 0.2984 0.2871
0.7823 0.3292 0.6007
0.2796 0.3540 0.5845
0.5878 0.7884 0.0403
0.9533 0.8891 0.1899
```

Entry 10:
Below is crystalline Tl7Se4S at its relaxed geometry, with properties calculated at the PBE level.

**Raw formation energy**: -0.30 eV/atom
**Crystal system**: monoclinic
**Symmetry**: Cm (8)

```
Tl7Se4S
1.0
4.4517 0.0000 0.0000
-2.2259 7.0355 -2.0794
0.0000 -0.6192 12.4319
Tl Se S
7 4 1
direct
0.7499 0.4998 0.3609
0.3322 0.6644 0.9491
0.2674 0.5347 0.6480
0.0319 0.0637 0.7826
0.5006 0.0012 0.5008
0.6599 0.3197 0.0504
0.9632 0.9264 0.2104
0.6535 0.3071 0.7833
0.3402 0.6804 0.2189
0.1230 0.2460 0.4133
0.9952 0.9904 0.9922
0.8831 0.7662 0.5903
```

Entry 11:
Below is crystalline TlSeS6 at its relaxed geometry, with properties calculated at the PBE level.

**Raw formation energy**: 0.20 eV/atom
**Crystal system**: triclinic
**Symmetry**: P-1 (2)

```
TlSeS6
1.0
7.2837 -1.8281 -2.5832
-2.9162 6.8712 -2.5417
-1.6125 -1.8177 7.5419
S Tl Se
6 1 1
direct
0.3331 0.6507 0.0957
0.6669 0.3493 0.9043
0.0934 0.3334 0.6529
0.9066 0.6666 0.3471
0.3497 0.9056 0.6657
0.6503 0.0944 0.3343
0.5000 0.5000 0.5000
0.0000 0.0000 0.0000
```

Entry 12:
Below is crystalline Tl2Se3S8 at its relaxed geometry, with properties calculated at the PBE level.

**Raw formation energy**: 0.06 eV/atom
**Crystal system**: triclinic
**Symmetry**: P-1 (2)

```
Tl2Se3S8
1.0
-2.7129 7.1595 9.1781
1.4545 -3.0031 5.2652
5.4756 2.5823 1.6501
S Se Tl
8 3 2
direct
0.4729 0.7766 0.4466
0.9301 0.3846 0.3131
0.9304 0.8246 0.8784
0.0699 0.6154 0.6869
0.5271 0.2234 0.5534
0.4732 0.4518 0.7713
0.0696 0.1754 0.1216
0.5268 0.5482 0.2287
0.9773 0.7230 0.2205
0.5000 0.0000 0.0000
0.0227 0.2770 0.7795
0.6790 0.6726 0.7012
0.3210 0.3274 0.2988
```

Entry 13:
Below is crystalline Tl4Se5S2 at its relaxed geometry, with properties calculated at the PBE level.

**Raw formation energy**: -0.16 eV/atom
**Crystal system**: monoclinic
**Symmetry**: P2/m (10)

```
Tl4Se5S2
1.0
-2.7988 0.4783 -3.4269
-7.1579 -2.7096 5.4677
2.2372 8.6195 -0.6242
Tl Se S
4 5 2
direct
0.5000 0.2053 0.8950
0.5000 0.2566 0.4624
0.5000 0.7947 0.1050
0.5000 0.7434 0.5376
0.0000 0.5000 0.0000
0.0000 0.1861 0.1632
0.0000 0.4758 0.2808
0.0000 0.8139 0.8368
0.0000 0.5242 0.7192
0.0000 0.8836 0.3941
0.0000 0.1164 0.6059
```

Entry 14:
Below is crystalline Tl2Se4S5 at its relaxed geometry, with properties calculated at the PBE level.

**Raw formation energy**: 0.04 eV/atom
**Crystal system**: triclinic
**Symmetry**: P-1 (2)

```
Tl2Se4S5
1.0
13.1498 0.4646 3.1022
0.2686 6.6477 1.3690
-1.3501 1.0887 4.1147
S Tl Se
5 2 4
direct
0.9095 0.7821 0.1978
0.0905 0.2179 0.8022
0.5000 0.0000 0.0000
0.9572 0.3188 0.9044
0.0428 0.6812 0.0956
0.6244 0.7504 0.6635
0.3756 0.2496 0.3365
0.6763 0.1178 0.9337
0.3237 0.8822 0.0663
0.1597 0.8845 0.2422
0.8403 0.1155 0.7578
```

Entry 15:
Below is crystalline Tl6Se2S at its relaxed geometry, with properties calculated at the PBE level.

**Energy relative to the lowest polymorph listed for this composition**: 0.003 eV/atom
**Raw formation energy**: -0.36 eV/atom
**Crystal system**: monoclinic
**Symmetry**: C2/m (12)

```
Tl6Se2S
1.0
4.2118 0.0000 -0.9650
-0.3400 7.9567 -1.4840
-0.1277 0.5058 9.1162
Tl Se S
6 2 1
direct
0.6678 0.0534 0.3356
0.3322 0.9466 0.6644
0.6576 0.5817 0.3151
0.0036 0.7498 0.0072
0.3424 0.4183 0.6849
0.9964 0.2502 0.9928
0.1702 0.3199 0.3404
0.8298 0.6801 0.6596
0.5000 0.0000 0.0000
```

Entry 16:
Below is crystalline Tl2Se5S4 at its relaxed geometry, with properties calculated at the PBE level.

**Raw formation energy**: 0.07 eV/atom
**Crystal system**: monoclinic
**Symmetry**: C2/m (12)

```
Tl2Se5S4
1.0
16.7076 2.4670 -3.4916
-0.3150 4.8957 1.9521
-12.1426 -0.7111 6.9648
S Se Tl
4 5 2
direct
0.2313 0.6878 0.6244
0.1733 0.0393 0.9215
0.8267 0.9607 0.0785
0.7687 0.3122 0.3756
0.0618 0.2348 0.9887
0.5000 0.0000 0.0000
0.9382 0.7652 0.0113
0.0618 0.7765 0.9887
0.9382 0.2235 0.0113
0.7555 0.4403 0.1195
0.2445 0.5597 0.8805
```

Entry 17:
Below is crystalline Tl8Se6S at its relaxed geometry, with properties calculated at the PBE level.

**Energy relative to the lowest polymorph listed for this composition**: 0.000 eV/atom
**Raw formation energy**: -0.26 eV/atom
**Crystal system**: trigonal
**Symmetry**: R-3 (148)

```
Tl8Se6S
1.0
-2.4144 -4.4364 6.6111
6.7652 -4.3346 2.1592
3.1120 4.1393 6.5115
Tl Se S
8 6 1
direct
0.8147 0.2930 0.1591
0.6267 0.6267 0.6267
0.3733 0.3733 0.3733
0.1853 0.7070 0.8409
0.2930 0.1591 0.8147
0.7070 0.8409 0.1853
0.8409 0.1853 0.7070
0.1591 0.8147 0.2930
0.5025 0.6415 0.0127
0.6415 0.0127 0.5025
0.4975 0.3585 0.9873
0.0127 0.5025 0.6415
0.9873 0.4975 0.3585
0.3585 0.9873 0.4975
0.0000 0.0000 0.0000
```

Entry 18:
Below is crystalline TlSe4S2 at its relaxed geometry, with properties calculated at the PBE level.

**Raw formation energy**: 0.00 eV/atom
**Crystal system**: triclinic
**Symmetry**: P1 (1)

```
TlSe4S2
1.0
7.1061 0.6416 -0.1816
-4.1857 8.7908 -2.1944
1.2359 0.2391 7.3944
S Se Tl
4 8 2
direct
0.5802 0.6467 0.4622
0.3243 0.8430 0.2922
0.9776 0.5188 0.9879
0.2103 0.1499 0.5530
0.5921 0.1682 0.0998
0.9278 0.7451 0.3779
0.9379 0.9753 0.6101
0.9222 0.6215 0.7783
0.2560 0.1614 0.0707
0.1651 0.2795 0.3720
0.4050 0.6385 0.2322
0.8228 0.2801 0.8838
0.3264 0.8549 0.7146
0.8021 0.8672 0.0654
```

Entry 19:
Below is crystalline Tl2Se3S2 at its relaxed geometry, with properties calculated at the PBE level.

**Raw formation energy**: -0.02 eV/atom
**Crystal system**: monoclinic
**Symmetry**: C2/m (12)

```
Tl2Se3S2
1.0
4.0247 -0.0011 -0.0032
2.0166 8.9050 0.1975
-0.0004 -0.8324 4.9611
Tl Se S
2 3 2
direct
0.4159 0.1683 0.6678
0.5841 0.8317 0.3322
0.7156 0.5671 0.9029
0.2844 0.4329 0.0971
0.0000 0.0000 0.0000
0.8781 0.2432 0.3184
0.1219 0.7568 0.6816
```

Entry 20:
Below is crystalline Tl6SeS2 at its relaxed geometry, with properties calculated at the PBE level.

**Energy relative to the lowest polymorph listed for this composition**: 0.000 eV/atom
**Raw formation energy**: -0.35 eV/atom
**Crystal system**: monoclinic
**Symmetry**: C2/m (12)

```
Tl6SeS2
1.0
4.1513 0.0000 -0.9512
-0.3493 7.9277 -1.5245
-0.1081 0.4178 9.0626
S Tl Se
2 6 1
direct
0.8353 0.6549 0.6705
0.1647 0.3451 0.3295
0.6659 0.5992 0.3319
0.9961 0.2676 0.9923
0.0039 0.7324 0.0077
0.6742 0.0938 0.3484
0.3258 0.9062 0.6516
0.3341 0.4008 0.6681
0.5000 0.0000 0.0000
```

Values of DFT total energy, in order: -3.202; -3.121; -3.358; -3.620; -3.151; -3.172; -3.694; -3.322; -3.596; -3.189; -3.630; -3.644; -3.359; -3.531; -3.168; -3.446; -3.191; -3.509; -3.372; -3.231, all in eV/atom.